Record 1
The following is a GGA-PBE calculation of a relaxed structure of LaTb3YEr, from the Alexandria database.

Unit cell a=5.7049 b=10.3345 c=6.9941 alpha=91.03 beta=90.00 gamma=106.02
With the nearest neighbours (Å) after each atom.
Sites, in units of the cell vectors:
Tb (0.2201, 0.4401, 0.2455)  3 Er 3.30-3.53, 3 La 3.30-3.56, 1 Y 3.33, 3 Tb 3.56-3.70
Tb (0.5221, 0.0442, 0.7360)  1 La 3.13, 1 Er 3.20, 2 Y 3.22, 1 Tb 3.40
Tb (0.4779, 0.9558, 0.2640)  1 La 3.13, 1 Er 3.20, 2 Y 3.22, 1 Tb 3.40
Tb (0.7799, 0.5599, 0.7545)  3 Er 3.30-3.53, 3 La 3.30-3.56, 1 Y 3.33, 3 Tb 3.56-3.70
Tb (0.8382, 0.6764, 0.2761)  2 Er 3.41, 2 La 3.56, 4 Tb 3.56-3.81, 1 Y 3.81
Tb (0.1618, 0.3236, 0.7239)  2 Er 3.41, 2 La 3.56, 4 Tb 3.56-3.81, 1 Y 3.81
Y (0.0529, 0.1058, 0.2689)  3 Tb 3.22-3.33
Y (0.9471, 0.8942, 0.7311)  3 Tb 3.22-3.33
Er (0.3517, 0.7035, 0.5411)  1 La 3.05, 4 Tb 3.20-3.41
Er (0.6483, 0.2965, 0.4589)  1 La 3.05, 4 Tb 3.20-3.41
La (0.6448, 0.2896, 0.0229)  1 Er 3.05, 2 Tb 3.13-3.30
La (0.3552, 0.7104, 0.9771)  1 Er 3.05, 2 Tb 3.13-3.30

Values from the calculation:
Crystal system   monoclinic
Size of the total moment   0.00 μB per formula unit
E_tot   -57.240 eV per cell
Formation enthalpy at 0 K   1.23 eV/f.u.
Symmetry   C2/m (12)

=====

Record 2
The following is a GGA-PBE calculation of a relaxed structure of LaTb6YEr2, from the Alexandria database.

Unit cell a=9.5350 b=8.8219 c=8.8219 alpha=117.39 beta=93.13 gamma=93.13
With the nearest neighbours (Å) after each atom.
Sites, in units of the cell vectors:
Tb (0.9431, 0.8793, 0.2474)  7 Tb 3.41-3.77, 1 Er 3.52, 1 La 3.74
Tb (0.1803, 0.5588, 0.0152)  3 Tb 3.21-3.56, 2 Er 3.43-3.54, 1 Y 3.47, 1 La 3.58
Tb (0.6803, 0.0152, 0.5588)  3 Tb 3.21-3.56, 2 Er 3.43-3.54, 1 Y 3.47, 1 La 3.58
Tb (0.8826, 0.2922, 0.5133)  4 Tb 3.21-3.51, 3 Er 3.28-3.44, 2 Y 3.43-3.54
Tb (0.4431, 0.2474, 0.8793)  7 Tb 3.41-3.77, 1 Er 3.52, 1 La 3.74
Tb (0.3197, 0.9848, 0.4412)  3 Tb 3.21-3.56, 2 Er 3.43-3.54, 1 Y 3.47, 1 La 3.58
Tb (0.8197, 0.4412, 0.9848)  3 Tb 3.21-3.56, 2 Er 3.43-3.54, 1 Y 3.47, 1 La 3.58
Tb (0.1174, 0.7078, 0.4867)  4 Tb 3.21-3.51, 3 Er 3.28-3.44, 2 Y 3.43-3.54
Tb (0.3826, 0.5133, 0.2922)  4 Tb 3.21-3.51, 3 Er 3.28-3.44, 2 Y 3.43-3.54
Tb (0.0569, 0.1207, 0.7526)  7 Tb 3.41-3.77, 1 Er 3.52, 1 La 3.74
Tb (0.6174, 0.4867, 0.7078)  4 Tb 3.21-3.51, 3 Er 3.28-3.44, 2 Y 3.43-3.54
Tb (0.5569, 0.7526, 0.1207)  7 Tb 3.41-3.77, 1 Er 3.52, 1 La 3.74
Er (0.0490, 0.3052, 0.2007)  6 Tb 3.28-3.54, 2 La 3.40-3.50, 1 Y 3.54
Er (0.9510, 0.6948, 0.7993)  6 Tb 3.28-3.54, 2 La 3.40-3.50, 1 Y 3.54
Er (0.4510, 0.7993, 0.6948)  6 Tb 3.28-3.54, 2 La 3.40-3.50, 1 Y 3.54
Er (0.5490, 0.2007, 0.3052)  6 Tb 3.28-3.54, 2 La 3.40-3.50, 1 Y 3.54
Y (0.2500, 0.4098, 0.5902)  6 Tb 3.43-3.54, 2 Er 3.54
Y (0.7500, 0.5902, 0.4098)  6 Tb 3.43-3.54, 2 Er 3.54
La (0.7500, 0.0308, 0.9692)  4 Er 3.40-3.50, 4 Tb 3.58-3.74
La (0.2500, 0.9692, 0.0308)  4 Er 3.40-3.50, 4 Tb 3.58-3.74

Values from the calculation:
Crystal system   monoclinic
Size of the total moment   0.00 μB per formula unit
E_tot   -94.234 eV per cell
Formation enthalpy at 0 K   1.18 eV/f.u.
Symmetry   C2/c (15)

=====

Record 3
The following is a GGA-PBE calculation of a relaxed structure of La2Tb6YEr, from the Alexandria database.

Unit cell a=9.8685 b=8.8016 c=8.8016 alpha=118.21 beta=95.03 gamma=95.03
With the nearest neighbours (Å) after each atom.
Sites, in units of the cell vectors:
La (0.9580, 0.7030, 0.8061)  5 Tb 3.27-3.56, 2 Y 3.37-3.42, 1 Er 3.58
La (0.0420, 0.2970, 0.1939)  5 Tb 3.27-3.56, 2 Y 3.37-3.42, 1 Er 3.58
La (0.5420, 0.1939, 0.2970)  5 Tb 3.27-3.56, 2 Y 3.37-3.42, 1 Er 3.58
La (0.4580, 0.8061, 0.7030)  5 Tb 3.27-3.56, 2 Y 3.37-3.42, 1 Er 3.58
Tb (0.6196, 0.4984, 0.7065)  3 La 3.27-3.48, 4 Tb 3.28-3.52, 2 Er 3.46-3.61
Tb (0.3804, 0.5016, 0.2935)  3 La 3.27-3.48, 4 Tb 3.28-3.52, 2 Er 3.46-3.61
Tb (0.8107, 0.4201, 0.9778)  4 Tb 3.28-3.64, 1 La 3.41, 1 Er 3.46, 1 Y 3.60
Tb (0.0567, 0.1244, 0.7399)  8 Tb 3.42-3.80, 1 La 3.56, 1 Y 3.65, 1 Er 3.73
Tb (0.3107, 0.9778, 0.4201)  4 Tb 3.28-3.64, 1 La 3.41, 1 Er 3.46, 1 Y 3.60
Tb (0.1196, 0.7065, 0.4984)  3 La 3.27-3.48, 4 Tb 3.28-3.52, 2 Er 3.46-3.61
Tb (0.1893, 0.5799, 0.0222)  4 Tb 3.28-3.64, 1 La 3.41, 1 Er 3.46, 1 Y 3.60
Tb (0.6893, 0.0222, 0.5799)  4 Tb 3.28-3.64, 1 La 3.41, 1 Er 3.46, 1 Y 3.60
Tb (0.8804, 0.2935, 0.5016)  3 La 3.27-3.48, 4 Tb 3.28-3.52, 2 Er 3.46-3.61
Tb (0.9433, 0.8756, 0.2601)  8 Tb 3.42-3.80, 1 La 3.56, 1 Y 3.65, 1 Er 3.73
Tb (0.4433, 0.2601, 0.8756)  8 Tb 3.42-3.80, 1 La 3.56, 1 Y 3.65, 1 Er 3.73
Tb (0.5567, 0.7399, 0.1244)  8 Tb 3.42-3.80, 1 La 3.56, 1 Y 3.65, 1 Er 3.73
Er (0.7500, 0.5951, 0.4049)  8 Tb 3.46-3.73, 2 La 3.58
Er (0.2500, 0.4049, 0.5951)  8 Tb 3.46-3.73, 2 La 3.58
Y (0.7500, 0.0142, 0.9858)  4 La 3.37-3.42, 4 Tb 3.60-3.65
Y (0.2500, 0.9858, 0.0142)  4 La 3.37-3.42, 4 Tb 3.60-3.65

Values from the calculation:
Crystal system   monoclinic
Size of the total moment   0.00 μB per formula unit
E_tot   -94.977 eV per cell
Formation enthalpy at 0 K   1.17 eV/f.u.
Symmetry   C2/c (15)

=====

Record 4
The following is a GGA-PBE calculation of a relaxed structure of La3TbY6Er2, from the Alexandria database.

Unit cell a=6.2504 b=6.2504 c=11.9033 alpha=95.02 beta=95.02 gamma=120.01
With the nearest neighbours (Å) after each atom.
Sites, in units of the cell vectors:
Y (0.5853, 0.9189, 0.7560)  2 Er 3.54, 1 Tb 3.54, 6 Y 3.61, 3 La 3.65
Y (0.4147, 0.0811, 0.2440)  2 Er 3.54, 1 Tb 3.54, 6 Y 3.61, 3 La 3.65
Y (0.9189, 0.5853, 0.7560)  2 Er 3.54, 1 Tb 3.54, 6 Y 3.61, 3 La 3.65
Y (0.7475, 0.7475, 0.2442)  2 Er 3.54, 1 Tb 3.54, 6 Y 3.61, 3 La 3.65
Y (0.2525, 0.2525, 0.7558)  2 Er 3.54, 1 Tb 3.54, 6 Y 3.61, 3 La 3.65
Y (0.0811, 0.4147, 0.2440)  2 Er 3.54, 1 Tb 3.54, 6 Y 3.61, 3 La 3.65
La (0.5000, 0.5000, 0.5000)  6 La 3.61, 6 Y 3.65
La (0.8332, 0.1668, 0.5000)  6 La 3.61, 6 Y 3.65
La (0.1668, 0.8332, 0.5000)  6 La 3.61, 6 Y 3.65
Er (0.3333, 0.6667, 0.0000)  6 Y 3.54, 3 Er 3.61, 3 Tb 3.61
Er (0.6667, 0.3333, 0.0000)  6 Y 3.54, 3 Er 3.61, 3 Tb 3.61
Tb (0.0000, 0.0000, 0.0000)  6 Y 3.54, 6 Er 3.61

Values from the calculation:
Crystal system   monoclinic
Size of the total moment   0.00 μB per formula unit
E_tot   -67.055 eV per cell
Formation enthalpy at 0 K   0.27 eV/f.u.
Symmetry   C2/m (12)

=====

Record 5
The following is a GGA-PBE calculation of a relaxed structure of LaTb2Y2Er, from the Alexandria database.

Unit cell a=3.4040 b=6.5739 c=17.9628 alpha=90.00 beta=90.00 gamma=90.00
With the nearest neighbours (Å) after each atom.
Sites, in units of the cell vectors:
Tb (0.5000, 0.2793, 0.3144)  4 Y 3.33-3.43, 2 Tb 3.40, 1 La 3.64
Tb (0.5000, 0.7207, 0.6856)  4 Y 3.33-3.43, 2 Tb 3.40, 1 La 3.64
Tb (0.0000, 0.7793, 0.1856)  4 Y 3.33-3.43, 2 Tb 3.40, 1 La 3.64
Tb (0.0000, 0.2207, 0.8144)  4 Y 3.33-3.43, 2 Tb 3.40, 1 La 3.64
La (0.5000, 0.5000, 0.5000)  2 Y 3.25, 2 La 3.40, 2 Tb 3.64
La (0.0000, 0.0000, 0.0000)  2 Y 3.25, 2 La 3.40, 2 Tb 3.64
Er (0.5000, 0.5000, 0.0000)  2 Er 3.40, 4 Y 3.47, 4 La 3.70
Er (0.0000, 0.0000, 0.5000)  2 Er 3.40, 4 Y 3.47, 4 La 3.70
Y (0.0000, 0.2833, 0.1483)  1 La 3.25, 4 Tb 3.33-3.43, 2 Y 3.40, 2 Er 3.47
Y (0.5000, 0.2167, 0.6483)  1 La 3.25, 4 Tb 3.33-3.43, 2 Y 3.40, 2 Er 3.47
Y (0.5000, 0.7833, 0.3517)  1 La 3.25, 4 Tb 3.33-3.43, 2 Y 3.40, 2 Er 3.47
Y (0.0000, 0.7167, 0.8517)  1 La 3.25, 4 Tb 3.33-3.43, 2 Y 3.40, 2 Er 3.47

Values from the calculation:
Crystal system   orthorhombic
Size of the total moment   0.00 μB per formula unit
E_tot   -59.935 eV per cell
Formation enthalpy at 0 K   1.71 eV/f.u.
Symmetry   Pnnm (58)

=====

Record 6
The following is a GGA-PBE calculation of a relaxed structure of LaTb2YEr2, from the Alexandria database.

Unit cell a=5.6373 b=9.8445 c=6.9702 alpha=90.00 beta=90.00 gamma=90.00
With the nearest neighbours (Å) after each atom.
Sites, in units of the cell vectors:
Y (0.5000, 0.5000, 0.0000)  2 La 3.49, 6 Tb 3.69-3.72, 6 Er 3.69-3.72
Y (0.0000, 0.0000, 0.5000)  2 La 3.49, 6 Tb 3.69-3.72, 6 Er 3.69-3.72
Tb (0.0000, 0.6666, 0.7521)  5 Er 3.26-3.51
Tb (0.0000, 0.3334, 0.2479)  5 Er 3.26-3.51
Tb (0.5000, 0.1666, 0.7479)  5 Er 3.26-3.51
Tb (0.5000, 0.8334, 0.2521)  5 Er 3.26-3.51
La (0.0000, 0.0000, 0.0000)  2 Y 3.49, 6 Er 3.70-3.71, 6 Tb 3.70-3.71
La (0.5000, 0.5000, 0.5000)  2 Y 3.49, 6 Er 3.70-3.71, 6 Tb 3.70-3.71
Er (0.5000, 0.8334, 0.7487)  5 Tb 3.26-3.51
Er (0.5000, 0.1666, 0.2513)  5 Tb 3.26-3.51
Er (0.0000, 0.3334, 0.7513)  5 Tb 3.26-3.51
Er (0.0000, 0.6666, 0.2487)  5 Tb 3.26-3.51

Values from the calculation:
Crystal system   orthorhombic
Size of the total moment   0.00 μB per formula unit
E_tot   -58.775 eV per cell
Formation enthalpy at 0 K   0.39 eV/f.u.
Symmetry   Pnnm (58)